(1)
First-principles (PBE) data for a relaxed Pr2YErS6 crystal, as listed in the Alexandria database.

a b c (Å): 7.0798 7.0798 18.5753
angles (deg): 90.00 90.00 120.00
Space group R3 (No. 146, hexagonal axes)
Asymmetric unit:
Pr  0.0000  0.0000  0.0000 (multiplicity 3)
Pr  0.0000  0.0000  0.4995 (multiplicity 3)
Y  0.0000  0.0000  0.2925 (multiplicity 3)
Er  0.0000  0.0000  0.7931 (multiplicity 3)
S  0.0223  0.3830  0.0566 (multiplicity 9)
S  0.0246  0.7177  0.8894 (multiplicity 9)

Values from the calculation:
Formation energy from raw total energies in eV per atom: -2.034

***

(2)
First-principles (PBE) data for a relaxed Pr3YEr2S6 crystal, as listed in the Alexandria database.

a b c (Å): 6.834 11.872 7.051
angles (deg): 90.00 108.92 90.00
Space group C2/m (No. 12)
Asymmetric unit:
Pr  0.000  0.000  0.000 (multiplicity 2)
Pr  0.000  0.335  0.000 (multiplicity 4)
Y  0.000  0.500  0.500 (multiplicity 2)
Er  0.000  0.167  0.500 (multiplicity 4)
S  0.239  0.000  0.728 (multiplicity 4)
S  0.244  0.332  0.729 (multiplicity 8)

Values from the calculation:
Formation energy from raw total energies in eV per atom: -2.006

***

(3)
First-principles (PBE) data for a relaxed Pr4ErSb5 crystal, as listed in the Alexandria database.

a b c (Å): 10.101 10.101 6.396
angles (deg): 90.00 90.00 90.00
Space group I4/m (No. 87)
Asymmetric unit:
Pr  0.097  0.301  0.000 (multiplicity 8)
Er  0.000  0.000  0.500 (multiplicity 2)
Sb  0.000  0.000  0.000 (multiplicity 2)
Sb  0.098  0.293  0.500 (multiplicity 8)

Values from the calculation:
Formation energy from raw total energies in eV per atom: -1.162

***

(4)
First-principles (PBE) data for a relaxed PrErSb crystal, as listed in the Alexandria database.

a b c (Å): 16.484 4.273 11.012
angles (deg): 90.00 90.82 90.00
Space group C2/m (No. 12)
Asymmetric unit:
Pr  0.035  0.000  0.364 (multiplicity 4)
Pr  0.099  0.500  0.859 (multiplicity 4)
Er  0.195  0.000  0.084 (multiplicity 4)
Er  0.244  0.000  0.660 (multiplicity 4)
Sb  0.089  0.500  0.172 (multiplicity 4)
Sb  0.122  0.500  0.557 (multiplicity 4)

Values from the calculation:
Formation energy from raw total energies in eV per atom: -0.610

***

(5)
First-principles (PBE) data for a relaxed PrErSb2 crystal, as listed in the Alexandria database.

a b c (Å): 4.4277 4.4277 22.6519
angles (deg): 90.00 90.00 120.00
Space group R3m (No. 160, hexagonal axes)
Asymmetric unit:
Pr  0.0000  0.0000  0.0000 (multiplicity 3)
Er  0.0000  0.0000  0.8290 (multiplicity 3)
Sb  0.0000  0.0000  0.4171 (multiplicity 3)
Sb  0.0000  0.0000  0.5782 (multiplicity 3)

Values from the calculation:
Excess energy over the best structure of this formula in the dataset in meV per atom: 127.1
Formation energy from raw total energies in eV per atom: -1.010

***

(6)
First-principles (PBE) data for a relaxed Pr3ErSb2 crystal, as listed in the Alexandria database.

a b c (Å): 4.596 4.596 8.848
angles (deg): 90.00 90.00 90.00
Space group P-4m2 (No. 115)
Asymmetric unit:
Pr  0.000  0.000  0.000 (multiplicity 1)
Pr  0.000  0.500  0.646 (multiplicity 2)
Er  0.500  0.500  0.000 (multiplicity 1)
Sb  0.000  0.500  0.275 (multiplicity 2)

Values from the calculation:
Excess energy over the best structure of this formula in the dataset in meV per atom: 0.0
Formation energy from raw total energies in eV per atom: -0.821

***

(7)
First-principles (PBE) data for a relaxed Pr5ErSb4 crystal, as listed in the Alexandria database.

a b c (Å): 19.261 4.417 8.719
angles (deg): 90.00 104.88 90.00
Space group C2/m (No. 12)
Asymmetric unit:
Pr  0.000  0.000  0.000 (multiplicity 2)
Pr  0.166  0.500  0.328 (multiplicity 4)
Pr  0.173  0.500  0.848 (multiplicity 4)
Er  0.000  0.000  0.500 (multiplicity 2)
Sb  0.005  0.500  0.746 (multiplicity 4)
Sb  0.166  0.000  0.587 (multiplicity 4)

Values from the calculation:
Formation energy from raw total energies in eV per atom: -0.786

***

(8)
First-principles (PBE) data for a relaxed PrEr5Sb4 crystal, as listed in the Alexandria database.

a b c (Å): 18.716 4.331 8.456
angles (deg): 90.00 106.93 90.00
Space group C2/m (No. 12)
Asymmetric unit:
Pr  0.000  0.000  0.000 (multiplicity 2)
Er  0.000  0.000  0.500 (multiplicity 2)
Er  0.159  0.500  0.823 (multiplicity 4)
Er  0.181  0.500  0.349 (multiplicity 4)
Sb  0.012  0.500  0.270 (multiplicity 4)
Sb  0.174  0.000  0.090 (multiplicity 4)

Values from the calculation:
Formation energy from raw total energies in eV per atom: -0.683